A relaxed NaCu2O4 crystal. Source: Alexandria via LeMat-Bulk, functional GGA-PBE.

POSCAR file:
```
NaCu2O4
1.0
-3.678 4.452 1.549
-3.013 -3.731 3.569
6.145 0.733 0.947
Na Cu O
2 4 8
Direct
0.750 0.250 0.500 Na
0.500 0.500 0.000 Na
0.125 0.875 0.750 Cu
0.625 0.875 0.750 Cu
0.125 0.875 0.250 Cu
0.125 0.375 0.250 Cu
0.935 0.825 0.389 O
0.175 0.546 0.611 O
0.436 0.065 0.611 O
0.796 0.186 0.111 O
0.814 0.685 0.889 O
0.075 0.204 0.889 O
0.454 0.564 0.389 O
0.315 0.925 0.111 O
```

DOS(E_F)	3.62	states/eV/f.u.
total DFT energy (no corrections)	-67.66	eV per cell
raw formation energy	-4.484	eV/f.u.